A plane-wave DFT calculation with PBE was carried out for Ac6IrOsAu2 after structural relaxation.

Summary:
Total DFT energy (no corrections): -0.4114 Ry/atom
Formation energy from the elements: -0.467 eV/atom

Geometry as POSCAR:
```
Ac6IrOsAu2
1.0
-6.057 3.012 -3.915
-0.989 -1.686 -7.568
-6.184 -5.035 -2.107
Ac Au Ir Os
6 2 1 1
Direct
0.202 0.953 0.259
0.699 0.090 0.762
0.586 0.202 0.259
0.449 0.699 0.762
0.090 0.449 0.762
0.953 0.586 0.259
0.517 0.518 0.448
0.018 0.018 0.946
0.824 0.824 0.527
0.323 0.323 0.032
```